1 | VASP calculation (GGA-PBE) on an optimized crystal structure of ScCoPCl2.

Computed properties:
Fermi-level density of states	1.192	states/eV per atom
calculated density	2764	kg/m3

```
5
Lattice="4.782 0.000 0.000 0.000 4.782 0.000 0.000 0.000 5.405" Properties=species:S:1:pos:R:3 pbc="T T T"
Sc 0.000 0.000 0.000
Co 2.391 2.391 2.703
P 0.000 0.000 2.703
Cl 0.000 2.391 0.000
Cl 2.391 0.000 0.000
```



2 | VASP calculation (GGA-PBE) on an optimized crystal structure of ScCoPCl2.

Computed properties:
Fermi-level density of states	0.381	states/eV per atom
calculated density	3706	kg/m3

```
5
Lattice="4.377 0.000 0.000 0.000 4.377 0.000 0.000 0.000 4.813" Properties=species:S:1:pos:R:3 pbc="T T T"
Sc 0.000 0.000 0.000
Co 2.188 2.188 2.407
P 2.188 2.188 0.000
Cl 0.000 2.188 2.407
Cl 2.188 0.000 2.407
```



Most stable structure, least stable structure: 2, 1.



1 | VASP calculation (GGA-PBE) on an optimized crystal structure of CoPSeCl2.

Computed properties:
Fermi-level density of states	1.154	states/eV per atom
calculated density	3323	kg/m3

```
5
Lattice="4.768 0.000 0.000 0.000 4.768 0.000 0.000 0.000 5.271" Properties=species:S:1:pos:R:3 pbc="T T T"
Co 0.000 0.000 0.000
P 2.384 2.384 0.000
Se 2.384 2.384 2.635
Cl 0.000 2.384 2.635
Cl 2.384 0.000 2.635
```



2 | VASP calculation (GGA-PBE) on an optimized crystal structure of CoPSeCl2.

Computed properties:
Fermi-level density of states	0.806	states/eV per atom
calculated density	4317	kg/m3

```
5
Lattice="4.427 0.000 0.000 0.000 4.427 0.000 0.000 0.000 4.706" Properties=species:S:1:pos:R:3 pbc="T T T"
Co 0.000 0.000 0.000
P 0.000 0.000 2.353
Se 2.214 2.214 2.353
Cl 0.000 2.214 0.000
Cl 2.214 0.000 0.000
```



Most stable structure, least stable structure: 2, 1.